## KZnW2 (PBE)

Data for KZnW2 after structural relaxation.

Unit cell a=3.409 b=3.409 c=7.917 alpha=90.00 beta=90.00 gamma=90.00
Sites, in units of the cell vectors:
K1 0.000 0.000 0.000
Zn1 0.000 0.000 0.500
W1 0.500 0.500 0.356
W2 0.500 0.500 0.644

## Properties
Energy = -5.87 eV/atom
Calculated volume = 23.00 Å³ per atom
Magnetic moment = 0.0 μB/f.u.
DFT formation energy = 1197 meV per atom